# 1
# MgAg5

A crystal of MgAg5 relaxed with PBEsol (meta-GGA SCAN, Alexandria).

Properties
Formation energy from the elements: -99 meV per atom
VASP energy: -27.07 eV per atom
Crystal system: hexagonal

```
data_MgAg5
_symmetry_space_group_name_H-M 'P -6 2 m'
_symmetry_Int_Tables_number 189
_symmetry_space_group_name_Hall 'P -6 -2'
_cell_length_a 4.9828
_cell_length_b 4.9828
_cell_length_c 4.7011
_cell_angle_alpha 90.00
_cell_angle_beta 90.00
_cell_angle_gamma 120.00
loop_
_atom_site_label
_atom_site_type_symbol
_atom_site_fract_x
_atom_site_fract_y
_atom_site_fract_z
Mg1 Mg 0.0000 0.0000 0.0000
Ag1 Ag 0.0000 0.6652 0.5000
Ag2 Ag 0.3333 0.6667 0.0000
```

# 2
# Mg5Ag3

A crystal of Mg5Ag3 relaxed with PBEsol (meta-GGA SCAN, Alexandria).

Properties
Formation energy from the elements: -220 meV per atom
Polymorph energy (0 for the lowest one): 0.017 eV per atom
VASP energy: -15.09 eV per atom
Crystal system: orthorhombic

```
data_Mg5Ag3
_symmetry_space_group_name_H-M 'C m m m'
_symmetry_Int_Tables_number 65
_symmetry_space_group_name_Hall '-C 2 2'
_cell_length_a 6.856
_cell_length_b 9.353
_cell_length_c 4.627
_cell_angle_alpha 90.00
_cell_angle_beta 90.00
_cell_angle_gamma 90.00
loop_
_atom_site_label
_atom_site_type_symbol
_atom_site_fract_x
_atom_site_fract_y
_atom_site_fract_z
Mg1 Mg 0.000 0.000 0.000
Mg2 Mg 0.227 0.500 0.500
Mg3 Mg 0.250 0.250 0.000
Ag1 Ag 0.000 0.233 0.500
Ag2 Ag 0.000 0.500 0.000
```

# 3
# Mg3Ag

A crystal of Mg3Ag relaxed with PBEsol (meta-GGA SCAN, Alexandria).

Properties
Formation energy from the elements: -186 meV per atom
VASP energy: -11.76 eV per atom
Crystal system: hexagonal

```
data_Mg3Ag
_symmetry_space_group_name_H-M 'P 63/m m c'
_symmetry_Int_Tables_number 194
_symmetry_space_group_name_Hall '-P 6c 2c'
_cell_length_a 4.7142
_cell_length_b 4.7142
_cell_length_c 8.5628
_cell_angle_alpha 90.00
_cell_angle_beta 90.00
_cell_angle_gamma 120.00
loop_
_atom_site_label
_atom_site_type_symbol
_atom_site_fract_x
_atom_site_fract_y
_atom_site_fract_z
Mg1 Mg 0.0000 0.0000 0.2500
Mg2 Mg 0.3333 0.6667 0.0766
Ag1 Ag 0.3333 0.6667 0.7500
```

# 4
# Mg3Ag

A crystal of Mg3Ag relaxed with PBEsol (meta-GGA SCAN, Alexandria).

Properties
Formation energy from the elements: -69 meV per atom
VASP energy: -11.64 eV per atom
Crystal system: trigonal

```
data_Mg3Ag
_symmetry_space_group_name_H-M 'R -3 m'
_symmetry_Int_Tables_number 166
_symmetry_space_group_name_Hall '-R 3 2"'
_cell_length_a 9.5429
_cell_length_b 9.5429
_cell_length_c 2.9862
_cell_angle_alpha 90.00
_cell_angle_beta 90.00
_cell_angle_gamma 120.00
loop_
_atom_site_label
_atom_site_type_symbol
_atom_site_fract_x
_atom_site_fract_y
_atom_site_fract_z
Mg1 Mg 0.0000 0.5000 0.0000
Ag1 Ag 0.0000 0.0000 0.0000
```

# 5
# Mg3Ag

A crystal of Mg3Ag relaxed with PBEsol (meta-GGA SCAN, Alexandria).

Properties
Formation energy from the elements: -206 meV per atom
VASP energy: -11.78 eV per atom
Crystal system: hexagonal

```
data_Mg3Ag
_symmetry_space_group_name_H-M 'P 63 c m'
_symmetry_Int_Tables_number 185
_symmetry_space_group_name_Hall 'P 6c -2'
_cell_length_a 8.1019
_cell_length_b 8.1019
_cell_length_c 8.6112
_cell_angle_alpha 90.00
_cell_angle_beta 90.00
_cell_angle_gamma 120.00
loop_
_atom_site_label
_atom_site_type_symbol
_atom_site_fract_x
_atom_site_fract_y
_atom_site_fract_z
Mg1 Mg 0.0000 0.0000 0.2472
Mg2 Mg 0.0000 0.2795 0.0000
Mg3 Mg 0.0000 0.3753 0.3423
Mg4 Mg 0.3333 0.6667 0.1154
Ag1 Ag 0.0000 0.3282 0.6718
```

# 6
# Mg26Ag7

A crystal of Mg26Ag7 relaxed with PBEsol (meta-GGA SCAN, Alexandria).

Properties
Formation energy from the elements: -178 meV per atom
VASP energy: -10.75 eV per atom
Crystal system: cubic

```
data_Mg26Ag7
_symmetry_space_group_name_H-M 'F m -3'
_symmetry_Int_Tables_number 202
_symmetry_space_group_name_Hall '-F 2 2 3'
_cell_length_a 17.510
_cell_length_b 17.510
_cell_length_c 17.510
_cell_angle_alpha 90.00
_cell_angle_beta 90.00
_cell_angle_gamma 90.00
loop_
_atom_site_label
_atom_site_type_symbol
_atom_site_fract_x
_atom_site_fract_y
_atom_site_fract_z
Mg1 Mg 0.000 0.000 0.212
Mg2 Mg 0.000 0.089 0.361
Mg3 Mg 0.094 0.094 0.094
Mg4 Mg 0.096 0.240 0.346
Mg5 Mg 0.250 0.250 0.250
Ag1 Ag 0.000 0.000 0.000
Ag2 Ag 0.000 0.000 0.500
Ag3 Ag 0.000 0.158 0.224
```

# 7
# MgAg7

A crystal of MgAg7 relaxed with PBEsol (meta-GGA SCAN, Alexandria).

Properties
Formation energy from the elements: -64 meV per atom
VASP energy: -28.13 eV per atom
Crystal system: cubic

```
data_MgAg7
_symmetry_space_group_name_H-M 'F m -3 m'
_symmetry_Int_Tables_number 225
_symmetry_space_group_name_Hall '-F 4 2 3'
_cell_length_a 8.130
_cell_length_b 8.130
_cell_length_c 8.130
_cell_angle_alpha 90.00
_cell_angle_beta 90.00
_cell_angle_gamma 90.00
loop_
_atom_site_label
_atom_site_type_symbol
_atom_site_fract_x
_atom_site_fract_y
_atom_site_fract_z
Mg1 Mg 0.000 0.000 0.000
Ag1 Ag 0.000 0.000 0.500
Ag2 Ag 0.000 0.250 0.250
```

# 8
# Mg3Ag

A crystal of Mg3Ag relaxed with PBEsol (meta-GGA SCAN, Alexandria).

Properties
Formation energy from the elements: -142 meV per atom
VASP energy: -11.71 eV per atom
Crystal system: monoclinic

```
data_Mg3Ag
_symmetry_space_group_name_H-M 'C 1 2/m 1'
_symmetry_Int_Tables_number 12
_cell_length_a 10.523
_cell_length_b 3.491
_cell_length_c 4.762
_cell_angle_alpha 90.00
_cell_angle_beta 115.59
_cell_angle_gamma 90.00
loop_
_symmetry_equiv_pos_as_xyz
'x,y,z'
'-x,-y,-z'
'-x,y,-z'
'x,-y,z'
'x+1/2,y+1/2,z'
'-x+1/2,-y+1/2,-z'
'-x+1/2,y+1/2,-z'
'x+1/2,-y+1/2,z'
loop_
_atom_site_label
_atom_site_type_symbol
_atom_site_fract_x
_atom_site_fract_y
_atom_site_fract_z
Mg1 Mg 0.000 0.000 0.000
Mg2 Mg 0.230 0.000 0.730
Ag1 Ag 0.000 0.500 0.500
```

# 9
# Mg17Ag12

A crystal of Mg17Ag12 relaxed with PBEsol (meta-GGA SCAN, Alexandria).

Properties
Formation energy from the elements: -186 meV per atom
VASP energy: -16.08 eV per atom
Crystal system: cubic

```
data_Mg17Ag12
_symmetry_space_group_name_H-M 'I -4 3 m'
_symmetry_Int_Tables_number 217
_symmetry_space_group_name_Hall 'I -4 2 3'
_cell_length_a 10.307
_cell_length_b 10.307
_cell_length_c 10.307
_cell_angle_alpha 90.00
_cell_angle_beta 90.00
_cell_angle_gamma 90.00
loop_
_atom_site_label
_atom_site_type_symbol
_atom_site_fract_x
_atom_site_fract_y
_atom_site_fract_z
Mg1 Mg 0.000 0.000 0.000
Mg2 Mg 0.048 0.359 0.359
Mg3 Mg 0.167 0.167 0.833
Ag1 Ag 0.094 0.094 0.286
```

# 10
# Mg3Ag

A crystal of Mg3Ag relaxed with PBEsol (meta-GGA SCAN, Alexandria).

Properties
Formation energy from the elements: -185 meV per atom
VASP energy: -11.76 eV per atom
Crystal system: orthorhombic

```
data_Mg3Ag
_symmetry_space_group_name_H-M 'P n m a'
_symmetry_Int_Tables_number 62
_cell_length_a 7.705
_cell_length_b 8.321
_cell_length_c 5.270
_cell_angle_alpha 90.00
_cell_angle_beta 90.00
_cell_angle_gamma 90.00
loop_
_symmetry_equiv_pos_as_xyz
'x,y,z'
'-x,-y,-z'
'-x+1/2,-y,z+1/2'
'x+1/2,y,-z+1/2'
'x+1/2,-y+1/2,-z+1/2'
'-x+1/2,y+1/2,z+1/2'
'-x,y+1/2,-z'
'x,-y+1/2,z'
loop_
_atom_site_label
_atom_site_type_symbol
_atom_site_fract_x
_atom_site_fract_y
_atom_site_fract_z
Mg1 Mg 0.024 0.250 0.093
Mg2 Mg 0.171 0.061 0.606
Ag1 Ag 0.130 0.750 0.424
```

# 11
# Mg5Ag3

A crystal of Mg5Ag3 relaxed with PBEsol (meta-GGA SCAN, Alexandria).

Properties
Formation energy from the elements: -220 meV per atom
Polymorph energy (0 for the lowest one): 0.017 eV per atom
VASP energy: -15.09 eV per atom
Crystal system: hexagonal

```
data_Mg5Ag3
_symmetry_space_group_name_H-M 'P 63/m c m'
_symmetry_Int_Tables_number 193
_symmetry_space_group_name_Hall '-P 6c 2'
_cell_length_a 8.0390
_cell_length_b 8.0390
_cell_length_c 5.5419
_cell_angle_alpha 90.00
_cell_angle_beta 90.00
_cell_angle_gamma 120.00
loop_
_atom_site_label
_atom_site_type_symbol
_atom_site_fract_x
_atom_site_fract_y
_atom_site_fract_z
Mg1 Mg 0.0000 0.2438 0.2500
Mg2 Mg 0.3333 0.6667 0.0000
Ag1 Ag 0.0000 0.3989 0.7500
```

# 12
# MgAg5

A crystal of MgAg5 relaxed with PBEsol (meta-GGA SCAN, Alexandria).

Properties
Formation energy from the elements: -78 meV per atom
VASP energy: -27.05 eV per atom
Crystal system: monoclinic

```
data_MgAg5
_symmetry_space_group_name_H-M 'C 1 m 1'
_symmetry_Int_Tables_number 8
_cell_length_a 10.577
_cell_length_b 2.985
_cell_length_c 6.704
_cell_angle_alpha 90.00
_cell_angle_beta 106.41
_cell_angle_gamma 90.00
loop_
_symmetry_equiv_pos_as_xyz
'x,y,z'
'x,-y,z'
'x+1/2,y+1/2,z'
'x+1/2,-y+1/2,z'
loop_
_atom_site_label
_atom_site_type_symbol
_atom_site_fract_x
_atom_site_fract_y
_atom_site_fract_z
Mg1 Mg 0.000 0.000 0.000
Ag1 Ag 0.120 0.500 0.738
Ag2 Ag 0.167 0.500 0.334
Ag3 Ag 0.285 0.000 0.072
Ag4 Ag 0.336 0.000 0.668
Ag5 Ag 0.453 0.500 0.404
```

# 13
# Mg3Ag

A crystal of Mg3Ag relaxed with PBEsol (meta-GGA SCAN, Alexandria).

Properties
Formation energy from the elements: -149 meV per atom
VASP energy: -11.72 eV per atom
Crystal system: orthorhombic

```
data_Mg3Ag
_symmetry_space_group_name_H-M 'P m m m'
_symmetry_Int_Tables_number 47
_cell_length_a 3.316
_cell_length_b 3.422
_cell_length_c 7.011
_cell_angle_alpha 90.00
_cell_angle_beta 90.00
_cell_angle_gamma 90.00
loop_
_symmetry_equiv_pos_as_xyz
'x,y,z'
'-x,-y,-z'
'-x,-y,z'
'x,y,-z'
'x,-y,-z'
'-x,y,z'
'-x,y,-z'
'x,-y,z'
loop_
_atom_site_label
_atom_site_type_symbol
_atom_site_fract_x
_atom_site_fract_y
_atom_site_fract_z
Mg1 Mg 0.000 0.000 0.000
Mg2 Mg 0.500 0.500 0.279
Ag1 Ag 0.000 0.000 0.500
```

# 14
# MgAg5

A crystal of MgAg5 relaxed with PBEsol (meta-GGA SCAN, Alexandria).

Properties
Formation energy from the elements: -94 meV per atom
VASP energy: -27.06 eV per atom
Crystal system: monoclinic

```
data_MgAg5
_symmetry_space_group_name_H-M 'C 1 2 1'
_symmetry_Int_Tables_number 5
_cell_length_a 8.657
_cell_length_b 4.968
_cell_length_c 5.582
_cell_angle_alpha 90.00
_cell_angle_beta 122.64
_cell_angle_gamma 90.00
loop_
_symmetry_equiv_pos_as_xyz
'x,y,z'
'-x,y,-z'
'x+1/2,y+1/2,z'
'-x+1/2,y+1/2,-z'
loop_
_atom_site_label
_atom_site_type_symbol
_atom_site_fract_x
_atom_site_fract_y
_atom_site_fract_z
Mg1 Mg 0.000 0.000 0.000
Ag1 Ag 0.000 0.832 0.500
Ag2 Ag 0.166 0.335 0.500
Ag3 Ag 0.168 0.500 0.003
```

# 15
# Mg5Ag3

A crystal of Mg5Ag3 relaxed with PBEsol (meta-GGA SCAN, Alexandria).

Properties
Formation energy from the elements: -237 meV per atom
Polymorph energy (0 for the lowest one): 0.000 eV per atom
VASP energy: -15.11 eV per atom
Crystal system: tetragonal

```
data_Mg5Ag3
_symmetry_space_group_name_H-M 'I 4/m c m'
_symmetry_Int_Tables_number 140
_symmetry_space_group_name_Hall '-I 4 2c'
_cell_length_a 10.660
_cell_length_b 10.660
_cell_length_c 5.368
_cell_angle_alpha 90.00
_cell_angle_beta 90.00
_cell_angle_gamma 90.00
loop_
_atom_site_label
_atom_site_type_symbol
_atom_site_fract_x
_atom_site_fract_y
_atom_site_fract_z
Mg1 Mg 0.000 0.500 0.250
Mg2 Mg 0.077 0.222 0.000
Ag1 Ag 0.000 0.000 0.250
Ag2 Ag 0.167 0.333 0.500
```

# 16
# Mg4Ag

A crystal of Mg4Ag relaxed with PBEsol (meta-GGA SCAN, Alexandria).

Properties
Formation energy from the elements: -118 meV per atom
Polymorph energy (0 for the lowest one): 0.000 eV per atom
VASP energy: -10.37 eV per atom
Crystal system: monoclinic

```
data_Mg4Ag
_symmetry_space_group_name_H-M 'C 1 2/m 1'
_symmetry_Int_Tables_number 12
_cell_length_a 11.280
_cell_length_b 3.230
_cell_length_c 7.945
_cell_angle_alpha 90.00
_cell_angle_beta 134.76
_cell_angle_gamma 90.00
loop_
_symmetry_equiv_pos_as_xyz
'x,y,z'
'-x,-y,-z'
'-x,y,-z'
'x,-y,z'
'x+1/2,y+1/2,z'
'-x+1/2,-y+1/2,-z'
'-x+1/2,y+1/2,-z'
'x+1/2,-y+1/2,z'
loop_
_atom_site_label
_atom_site_type_symbol
_atom_site_fract_x
_atom_site_fract_y
_atom_site_fract_z
Mg1 Mg 0.082 0.000 0.362
Mg2 Mg 0.222 0.500 0.804
Ag1 Ag 0.000 0.500 0.000
```

# 17
# Mg2MnAg

A crystal of Mg2MnAg relaxed with PBEsol (meta-GGA SCAN, Alexandria).

Properties
Formation energy from the elements: -105 meV per atom
VASP energy: -15.00 eV per atom
Crystal system: orthorhombic

```
data_Mg2MnAg
_symmetry_space_group_name_H-M 'I m m 2'
_symmetry_Int_Tables_number 44
_cell_length_a 3.295
_cell_length_b 4.601
_cell_length_c 9.281
_cell_angle_alpha 90.00
_cell_angle_beta 90.00
_cell_angle_gamma 90.00
loop_
_symmetry_equiv_pos_as_xyz
'x,y,z'
'-x,-y,z'
'-x,y,z'
'x,-y,z'
'x+1/2,y+1/2,z+1/2'
'-x+1/2,-y+1/2,z+1/2'
'-x+1/2,y+1/2,z+1/2'
'x+1/2,-y+1/2,z+1/2'
loop_
_atom_site_label
_atom_site_type_symbol
_atom_site_fract_x
_atom_site_fract_y
_atom_site_fract_z
Mg1 Mg 0.000 0.000 0.000
Mg2 Mg 0.000 0.500 0.229
Mn1 Mn 0.000 0.500 0.754
Ag1 Ag 0.000 0.000 0.485
```

# 18
# Mg2MnAg

A crystal of Mg2MnAg relaxed with PBEsol (meta-GGA SCAN, Alexandria).

Properties
Formation energy from the elements: -8 meV per atom
VASP energy: -14.90 eV per atom
Crystal system: trigonal

```
data_Mg2MnAg
_symmetry_space_group_name_H-M 'R -3 m'
_symmetry_Int_Tables_number 166
_symmetry_space_group_name_Hall '-R 3 2"'
_cell_length_a 2.9522
_cell_length_b 2.9522
_cell_length_c 27.7205
_cell_angle_alpha 90.00
_cell_angle_beta 90.00
_cell_angle_gamma 120.00
loop_
_atom_site_label
_atom_site_type_symbol
_atom_site_fract_x
_atom_site_fract_y
_atom_site_fract_z
Mg1 Mg 0.0000 0.0000 0.2490
Mn1 Mn 0.0000 0.0000 0.5000
Ag1 Ag 0.0000 0.0000 0.0000
```

# 19
# Mg2MnAg

A crystal of Mg2MnAg relaxed with PBEsol (meta-GGA SCAN, Alexandria).

Properties
Formation energy from the elements: -99 meV per atom
VASP energy: -14.99 eV per atom
Crystal system: tetragonal

```
data_Mg2MnAg
_symmetry_space_group_name_H-M 'I -4 m 2'
_symmetry_Int_Tables_number 119
_symmetry_space_group_name_Hall 'I -4 -2'
_cell_length_a 4.153
_cell_length_b 4.153
_cell_length_c 8.069
_cell_angle_alpha 90.00
_cell_angle_beta 90.00
_cell_angle_gamma 90.00
loop_
_atom_site_label
_atom_site_type_symbol
_atom_site_fract_x
_atom_site_fract_y
_atom_site_fract_z
Mg1 Mg 0.000 0.000 0.000
Mg2 Mg 0.000 0.500 0.250
Mn1 Mn 0.000 0.000 0.500
Ag1 Ag 0.000 0.500 0.750
```

# 20
# MgAgMo

A crystal of MgAgMo relaxed with PBEsol (meta-GGA SCAN, Alexandria).

Properties
Formation energy from the elements: 506 meV per atom
VASP energy: -23.24 eV per atom
Crystal system: trigonal

```
data_MgAgMo
_symmetry_space_group_name_H-M 'P 3 m 1'
_symmetry_Int_Tables_number 156
_cell_length_a 4.6480
_cell_length_b 4.6480
_cell_length_c 2.6505
_cell_angle_alpha 90.00
_cell_angle_beta 90.00
_cell_angle_gamma 120.00
loop_
_symmetry_equiv_pos_as_xyz
'x,y,z'
'-y,x-y,z'
'-x+y,-x,z'
'-y,-x,z'
'-x+y,y,z'
'x,x-y,z'
loop_
_atom_site_label
_atom_site_type_symbol
_atom_site_fract_x
_atom_site_fract_y
_atom_site_fract_z
Mg1 Mg 0.0000 0.0000 0.0000
Ag1 Ag 0.6667 0.3333 0.0049
Mo1 Mo 0.3333 0.6667 0.5026
```